Entry 1:
Ba4CoOs at its PBEsol-relaxed geometry. Source: Alexandria, functional meta-GGA SCAN.

Space group ... F-43m (216)
ρ ... 6.85 g/cm³

Cell: 6.494 6.494 6.494 Å, 60.00 60.00 60.00°
Fractional coordinates of all 6 atoms:
Ba 0.375 0.375 0.375
Ba 0.375 0.375 0.876
Ba 0.876 0.375 0.375
Ba 0.375 0.876 0.375
Co 0.750 0.750 0.750
Os 0.000 0.000 0.000



Entry 2:
BaCo2OsRu at its PBEsol-relaxed geometry. Source: Alexandria, functional meta-GGA SCAN.

Space group ... P4/mmm (123)
ρ ... 8.94 g/cm³

Cell: 4.529 4.529 4.948 Å, 90.00 90.00 90.00°
Fractional coordinates of all 5 atoms:
Ru 0.500 0.500 0.500
Os 0.000 0.000 0.500
Ba 0.000 0.000 0.000
Co 0.000 0.500 0.000
Co 0.500 0.000 0.000



Entry 3:
BaTlCo2Os at its PBEsol-relaxed geometry. Source: Alexandria, functional meta-GGA SCAN.

Space group ... P4/mmm (123)
ρ ... 9.40 g/cm³

Cell: 4.724 4.724 5.141 Å, 90.00 90.00 90.00°
Fractional coordinates of all 5 atoms:
Co 0.000 0.500 0.000
Co 0.500 0.000 0.000
Tl 0.000 0.000 0.500
Os 0.000 0.000 0.000
Ba 0.500 0.500 0.500



Entry 4:
BaZn2CoOs at its PBEsol-relaxed geometry. Source: Alexandria, functional meta-GGA SCAN.

Space group ... P4/mmm (123)
ρ ... 8.69 g/cm³

Cell: 4.552 4.659 4.659 Å, 90.00 90.00 90.00°
Fractional coordinates of all 5 atoms:
Co 0.000 0.000 0.000
Zn 0.000 0.000 0.500
Zn 0.000 0.500 0.000
Os 0.500 0.000 0.000
Ba 0.500 0.500 0.500



Entry 5:
BaZrCo2Os at its PBEsol-relaxed geometry. Source: Alexandria, functional meta-GGA SCAN.

Space group ... P4/mmm (123)
ρ ... 8.11 g/cm³

Cell: 4.762 4.762 4.844 Å, 90.00 90.00 90.00°
Fractional coordinates of all 5 atoms:
Co 0.000 0.500 0.000
Co 0.500 0.000 0.000
Os 0.000 0.000 0.000
Ba 0.500 0.500 0.500
Zr 0.000 0.000 0.500



Entry 6:
BaCoP3 at its PBEsol-relaxed geometry. Source: Alexandria, functional meta-GGA SCAN.

Space group ... Pm-3m (221)
ρ ... 5.02 g/cm³

Cell: 4.574 4.574 4.574 Å, 90.00 90.00 90.00°
Fractional coordinates of all 5 atoms:
P 0.000 0.500 0.000
P 0.000 0.000 0.500
P 0.500 0.000 0.000
Co 0.000 0.000 0.000
Ba 0.500 0.500 0.500



no.,energy relative to the elements (kJ per mole of atoms),energy (eV for the cell shown)
1,158,-237.57
2,299,-165.36
3,50,-215.81
4,42,-153.59
5,61,-173.58
6,-3,-88.21